<one>
# Ba2Sr4Rh

A relaxed structure of Ba2Sr4Rh (PBE, the Alexandria database).

Unit cell a=7.846 b=4.185 c=11.232 alpha=90.00 beta=106.04 gamma=90.00
Atoms (fractional coordinates):
Ba: 0.244 0.000 0.491
Ba: 0.756 0.000 0.509
Sr: 0.139 0.500 0.829
Sr: 0.382 0.000 0.146
Sr: 0.618 0.000 0.854
Sr: 0.861 0.500 0.171
Rh: 0.500 0.500 0.000

## Properties
N(E_F) (states/eV per cell): 6.88
SG: P2/m (10)
Calculated volume (Å³ per cell): 354.4

=====

<two>
# Ba2Sr4Rh

A relaxed structure of Ba2Sr4Rh (PBE, the Alexandria database).

Unit cell a=5.918 b=5.918 c=21.427 alpha=90.00 beta=90.00 gamma=90.00
Atoms (fractional coordinates):
Ba: 0.000 0.000 0.173
Ba: 0.000 0.000 0.827
Ba: 0.500 0.500 0.327
Ba: 0.500 0.500 0.673
Sr: 0.000 0.000 0.367
Sr: 0.000 0.000 0.633
Sr: 0.000 0.500 0.000
Sr: 0.000 0.500 0.500
Sr: 0.500 0.000 0.000
Sr: 0.500 0.000 0.500
Sr: 0.500 0.500 0.133
Sr: 0.500 0.500 0.867
Rh: 0.000 0.000 0.500
Rh: 0.500 0.500 0.000

## Properties
N(E_F) (states/eV per cell): 14.52
SG: I4/mmm (139)
Calculated volume (Å³ per cell): 750.5

=====

Energy ordering: <one> at the bottom, the next structure 0.021 eV/atom above.

=====

<one>
# BaSr2Rh

A relaxed structure of BaSr2Rh (PBE, the Alexandria database).

Unit cell a=5.060 b=5.060 c=5.464 alpha=90.00 beta=90.00 gamma=90.00
Atoms (fractional coordinates):
Ba: 0.000 0.000 0.000
Sr: 0.000 0.500 0.500
Sr: 0.500 0.000 0.500
Rh: 0.500 0.500 0.000

## Properties
N(E_F) (states/eV per cell): 4.20
SG: P4/mmm (123)
Calculated volume (Å³ per cell): 139.9

=====

<two>
# BaSr2Rh

A relaxed structure of BaSr2Rh (PBE, the Alexandria database).

Unit cell a=3.877 b=5.679 c=14.736 alpha=90.00 beta=90.00 gamma=90.00
Atoms (fractional coordinates):
Ba: 0.000 0.000 0.000
Ba: 0.500 0.500 0.500
Sr: 0.000 0.000 0.320
Sr: 0.000 0.500 0.163
Sr: 0.500 0.000 0.663
Sr: 0.500 0.500 0.820
Rh: 0.000 0.500 0.663
Rh: 0.500 0.000 0.163

## Properties
N(E_F) (states/eV per cell): 6.43
SG: Imm2 (44)
Calculated volume (Å³ per cell): 324.5

=====

Energy ordering: <two> at the bottom, the next structure 0.263 eV/atom above.

=====

<one>
# BaSr2Rh

A relaxed structure of BaSr2Rh (PBE, the Alexandria database).

Unit cell a=3.851 b=3.851 c=10.769 alpha=90.00 beta=90.00 gamma=90.00
Atoms (fractional coordinates):
Ba: 0.000 0.000 0.000
Sr: 0.000 0.000 0.326
Sr: 0.500 0.500 0.652
Rh: 0.500 0.500 0.170

## Properties
N(E_F) (states/eV per cell): 3.99
SG: P4mm (99)
Calculated volume (Å³ per cell): 159.7

=====

<two>
# BaSr2Rh

A relaxed structure of BaSr2Rh (PBE, the Alexandria database).

Unit cell a=3.812 b=3.812 c=10.811 alpha=90.00 beta=90.00 gamma=90.00
Atoms (fractional coordinates):
Ba: 0.000 0.000 0.000
Sr: 0.500 0.500 0.341
Sr: 0.500 0.500 0.659
Rh: 0.000 0.000 0.500

## Properties
N(E_F) (states/eV per cell): 5.10
SG: P4/mmm (123)
Calculated volume (Å³ per cell): 157.1

=====

<three>
# BaSr2Rh

A relaxed structure of BaSr2Rh (PBE, the Alexandria database).

Unit cell a=6.331 b=13.149 c=4.373 alpha=90.00 beta=90.00 gamma=90.00
Atoms (fractional coordinates):
Ba: 0.000 0.000 0.000
Ba: 0.500 0.500 0.000
Sr: 0.000 0.351 0.500
Sr: 0.000 0.649 0.500
Sr: 0.500 0.149 0.500
Sr: 0.500 0.851 0.500
Rh: 0.000 0.500 0.000
Rh: 0.500 0.000 0.000

## Properties
N(E_F) (states/eV per cell): 3.71
SG: Cmmm (65)
Calculated volume (Å³ per cell): 364.1

=====

Energy ordering: <three> at the bottom, the next structure 0.080 eV/atom above.

=====

<one>
# BaSrRh3

A relaxed structure of BaSrRh3 (PBE, the Alexandria database).

Unit cell a=5.144 b=5.144 c=5.144 alpha=90.00 beta=90.00 gamma=90.00
Atoms (fractional coordinates):
Ba: 0.000 0.000 0.000
Sr: 0.500 0.500 0.500
Rh: 0.000 0.500 0.500
Rh: 0.500 0.000 0.500
Rh: 0.500 0.500 0.000

## Properties
N(E_F) (states/eV per cell): 4.62
SG: Pm-3m (221)
Calculated volume (Å³ per cell): 136.1

=====

<two>
# BaSrRh3

A relaxed structure of BaSrRh3 (PBE, the Alexandria database).

Unit cell a=5.178 b=5.178 c=5.178 alpha=90.00 beta=90.00 gamma=90.00
Atoms (fractional coordinates):
Ba: 0.000 0.000 0.000
Sr: 0.500 0.500 0.500
Rh: 0.000 0.000 0.500
Rh: 0.000 0.500 0.000
Rh: 0.500 0.000 0.000

## Properties
N(E_F) (states/eV per cell): 7.25
SG: Pm-3m (221)
Calculated volume (Å³ per cell): 138.8

=====

Energy ordering: <one> at the bottom, the next structure 0.062 eV/atom above.

=====

<one>
# BaSrTl2Rh

A relaxed structure of BaSrTl2Rh (PBE, the Alexandria database).

Unit cell a=5.458 b=5.458 c=5.520 alpha=90.00 beta=90.00 gamma=90.00
Atoms (fractional coordinates):
Ba: 0.000 0.000 0.000
Sr: 0.500 0.500 0.000
Tl: 0.000 0.500 0.500
Tl: 0.500 0.000 0.500
Rh: 0.500 0.500 0.500

## Properties
N(E_F) (states/eV per cell): 4.20
SG: P4/mmm (123)
Calculated volume (Å³ per cell): 164.5

=====

<two>
# BaSrTl2Rh

A relaxed structure of BaSrTl2Rh (PBE, the Alexandria database).

Unit cell a=5.487 b=5.487 c=5.695 alpha=90.00 beta=90.00 gamma=90.00
Atoms (fractional coordinates):
Ba: 0.000 0.000 0.000
Sr: 0.500 0.500 0.000
Tl: 0.000 0.500 0.500
Tl: 0.500 0.000 0.500
Rh: 0.000 0.000 0.500

## Properties
N(E_F) (states/eV per cell): 3.33
SG: P4/mmm (123)
Calculated volume (Å³ per cell): 171.5

=====

Energy ordering: <one> at the bottom, the next structure 0.086 eV/atom above.

=====

<one>
# BaSrY2Rh

A relaxed structure of BaSrY2Rh (PBE, the Alexandria database).

Unit cell a=5.508 b=5.508 c=6.149 alpha=90.00 beta=90.00 gamma=90.00
Atoms (fractional coordinates):
Ba: 0.000 0.000 0.000
Sr: 0.500 0.500 0.000
Y: 0.000 0.500 0.500
Y: 0.500 0.000 0.500
Rh: 0.500 0.500 0.500

## Properties
N(E_F) (states/eV per cell): 4.53
SG: P4/mmm (123)
Calculated volume (Å³ per cell): 186.5

=====

<two>
# BaSrY2Rh

A relaxed structure of BaSrY2Rh (PBE, the Alexandria database).

Unit cell a=5.535 b=5.535 c=6.245 alpha=90.00 beta=90.00 gamma=90.00
Atoms (fractional coordinates):
Ba: 0.000 0.000 0.000
Sr: 0.500 0.500 0.000
Y: 0.000 0.500 0.500
Y: 0.500 0.000 0.500
Rh: 0.000 0.000 0.500

## Properties
N(E_F) (states/eV per cell): 3.31
SG: P4/mmm (123)
Calculated volume (Å³ per cell): 191.3

=====

Energy ordering: <one> at the bottom, the next structure 0.054 eV/atom above.